1.
5
Lattice="5.6142 0.0000 0.0000 0.0000 5.6142 0.0000 0.0000 0.0000 5.6142" Properties=species:S:1:pos:R:3 comment="Nd3SmOs, relaxed, DFT GGA-PBE" dos_ef_per_ev_cell=7.2 formation_energy_mev_per_atom=141 density_g_cm3=7.257 pbc="T T T"
Nd 0.0000 0.0000 2.8071
Nd 0.0000 2.8071 0.0000
Nd 2.8071 0.0000 0.0000
Sm 2.8071 2.8071 2.8071
Os 0.0000 0.0000 0.0000

2.
5
Lattice="5.3225 0.0000 0.0000 0.0000 5.3225 0.0000 0.0000 0.0000 5.3225" Properties=species:S:1:pos:R:3 comment="BaBiP3, relaxed, DFT GGA-PBE" dos_ef_per_ev_cell=5.4 formation_energy_mev_per_atom=338 density_g_cm3=4.837 pbc="T T T"
Ba 0.0000 0.0000 0.0000
Bi 2.6613 2.6613 2.6613
P 0.0000 2.6613 2.6613
P 2.6613 0.0000 2.6613
P 2.6613 2.6613 0.0000

3.
6
Lattice="4.6511 0.0000 0.0000 0.0000 2.9170 0.0000 -0.6346 0.0000 6.5750" Properties=species:S:1:pos:R:3 comment="Al2Pd3Pt, relaxed, DFT GGA-PBE" dos_ef_per_ev_cell=2.8 formation_energy_mev_per_atom=-736 density_g_cm3=10.579 pbc="T T T"
Al 0.7834 0.0000 2.0661
Al 3.2331 0.0000 4.5089
Pd 0.0000 1.4585 0.0000
Pd 0.8691 1.4585 4.1774
Pd 3.1475 1.4585 2.3975
Pt 2.3256 0.0000 0.0000

4.
14
Lattice="5.2077 0.0000 0.0000 0.0000 5.2077 0.0000 0.0000 0.0000 15.7839" Properties=species:S:1:pos:R:3 comment="Nd4Mg2C, relaxed, DFT GGA-PBE" dos_ef_per_ev_cell=18.6 formation_energy_mev_per_atom=64 density_g_cm3=4.947 pbc="T T T"
Nd 0.0000 0.0000 2.4847
Nd 0.0000 0.0000 13.2992
Nd 0.0000 2.6039 0.0000
Nd 0.0000 2.6039 7.8919
Nd 2.6039 0.0000 0.0000
Nd 2.6039 0.0000 7.8919
Nd 2.6039 2.6039 5.4073
Nd 2.6039 2.6039 10.3766
Mg 0.0000 0.0000 5.8009
Mg 0.0000 0.0000 9.9830
Mg 2.6039 2.6039 2.0911
Mg 2.6039 2.6039 13.6928
C 0.0000 0.0000 0.0000
C 2.6039 2.6039 7.8919

5.
14
Lattice="7.2663 0.0000 0.0000 0.0000 8.0601 0.0000 -3.2070 0.0000 3.8010" Properties=species:S:1:pos:R:3 comment="Li4MgCu2, relaxed, DFT GGA-PBE" dos_ef_per_ev_cell=3.5 formation_energy_mev_per_atom=-8 density_g_cm3=2.673 pbc="T T T"
Li 0.9211 1.5635 0.8690
Li 0.9211 6.4966 0.8690
Li -0.4949 2.4665 2.9320
Li -0.4949 5.5936 2.9320
Li 4.5542 2.4665 0.8690
Li 4.5542 5.5936 0.8690
Li 3.1382 1.5635 2.9320
Li 3.1382 6.4966 2.9320
Mg -1.6035 0.0000 1.9005
Mg 2.0296 4.0301 1.9005
Cu -0.7175 4.0301 0.9280
Cu 1.1436 0.0000 2.8730
Cu 2.9157 0.0000 0.9280
Cu 4.7768 4.0301 2.8730

6.
20
Lattice="4.5942 -7.6712 0.0000 4.5942 7.6712 0.0000 -1.3919 0.0000 9.6779" Properties=species:S:1:pos:R:3 comment="LaTb2Sm6Y, relaxed, DFT GGA-PBE" dos_ef_per_ev_cell=30.4 formation_energy_mev_per_atom=118 density_g_cm3=7.049 pbc="T T T"
La 3.5503 6.2228 7.2584
La 4.2463 -6.2228 2.4195
Tb 1.0219 0.7845 9.2559
Tb 1.7178 -0.7845 4.4169
Tb 6.0787 0.7845 5.2609
Tb 6.7747 -0.7845 0.4220
Sm 3.1298 6.0477 3.6606
Sm 2.4881 3.4849 1.7570
Sm 5.3627 6.0477 1.1783
Sm 3.2395 2.7738 5.3716
Sm 3.8611 2.7738 9.1452
Sm 6.0044 3.4849 3.0819
Sm 1.7922 -3.4849 6.5960
Sm 3.9354 -2.7738 0.5327
Sm 4.5571 -2.7738 4.3062
Sm 2.4338 -6.0477 8.4995
Sm 5.3085 -3.4849 7.9208
Sm 4.6668 -6.0477 6.0173
Y 4.2463 0.4014 2.4195
Y 3.5503 -0.4014 7.2584

7.
12
Lattice="3.6289 -6.2855 0.0000 3.6289 6.2855 0.0000 -2.4197 0.0000 7.6820" Properties=species:S:1:pos:R:3 comment="Rb3Pm2PuS6, relaxed, DFT GGA-PBE" dos_ef_per_ev_cell=12.3 density_g_cm3=4.657 e_form_raw_mev_per_atom=-1726 pbc="T T T"
Rb 0.0000 0.0000 0.0000
Rb 3.6289 2.1077 0.0000
Rb 3.6289 -2.1077 0.0000
Pm 2.4190 4.1916 3.8410
Pm 2.4190 -4.1916 3.8410
Pu 2.4190 0.0000 3.8410
S 1.2209 2.0757 2.3479
S 0.0226 0.0000 5.3362
S 1.2209 -2.0757 2.3479
S 3.6172 2.0757 5.3341
S 4.8154 0.0000 2.3458
S 3.6172 -2.0757 5.3341